Li2MnF6, optimized geometry, DFT PBE+U; VASP energy = -45.60 eV/f.u.; ΔE to the lowest computed polymorph = 0.13 eV per formula unit; V = 10.94 Å³/atom; space group = P-31c
1.0
5.025 0.000 0.000
-2.512 4.352 0.000
0.000 0.000 9.007
Li Mn F
4 2 12
direct
0.000 0.000 0.000 Li
0.000 0.000 0.500 Li
0.333 0.667 0.250 Li
0.667 0.333 0.750 Li
0.333 0.667 0.750 Mn
0.667 0.333 0.250 Mn
0.028 0.364 0.635 F
0.028 0.664 0.865 F
0.336 0.364 0.865 F
0.336 0.972 0.635 F
0.364 0.028 0.135 F
0.364 0.336 0.365 F
0.636 0.664 0.635 F
0.636 0.972 0.865 F
0.664 0.028 0.365 F
0.664 0.636 0.135 F
0.972 0.336 0.135 F
0.972 0.636 0.365 F